1.
First-principles (PBE) data for an optimized crystal structure of Ac2CeO4, as listed in Alexandria via LeMat-Bulk.

Results
The density of states at the Fermi level is 4.8 states/eV/f.u. The uncorrected formation energy is -2821 meV per atom. For the size of the total moment, the calculation gives 0.13 μB/atom. Its total energy is -7.68 eV/atom.

Cell and atoms, written as POSCAR:
```
Ac2CeO4
1.0
4.495 0.000 0.000
0.000 4.495 0.000
-2.248 -2.248 6.748
O Ac Ce
4 2 1
Cartesian
0.000 0.000 2.373
0.000 2.248 0.000
2.248 2.248 4.375
2.248 0.000 0.000
0.000 0.000 4.649
2.248 2.248 2.098
0.000 0.000 0.000
```


2.
First-principles (PBE) data for an optimized crystal structure of Ac4Ce6O19, as listed in Alexandria via LeMat-Bulk.

Results
The density of states at the Fermi level is 31.8 states/eV/f.u. The uncorrected formation energy is -3094 meV per atom. For the size of the total moment, the calculation gives 0.06 μB/atom. Its total energy is -8.14 eV/atom.

Cell and atoms, written as POSCAR:
```
Ac4Ce6O19
1.0
8.304 0.000 -2.936
-4.152 7.192 -2.936
0.000 0.000 8.808
Ce O Ac
6 19 4
Cartesian
-1.350 4.854 1.909
3.528 3.596 -1.909
0.624 3.596 4.845
0.726 5.934 -1.027
3.426 1.258 3.963
5.502 2.338 1.027
1.500 2.598 -2.121
0.332 5.243 3.370
4.353 1.722 5.937
-2.033 6.965 2.125
0.000 0.000 0.000
-0.554 4.857 -2.502
-0.864 1.949 5.061
1.609 2.334 3.247
3.467 2.560 0.065
2.652 4.593 -3.751
3.000 0.000 2.121
-1.500 2.598 2.121
4.636 2.909 3.001
2.896 5.469 -0.811
5.478 0.226 0.311
0.223 4.283 0.434
5.304 0.000 3.751
-2.652 4.593 3.751
5.369 4.631 -2.625
0.000 0.000 6.226
-2.935 5.083 -2.075
1.217 2.108 0.861
5.870 0.000 -2.075
```


3.
First-principles (PBE) data for an optimized crystal structure of AcCe6O12, as listed in Alexandria via LeMat-Bulk.

Results
The density of states at the Fermi level is 23.9 states/eV/f.u. The uncorrected formation energy is -3434 meV per atom. For the size of the total moment, the calculation gives 0.17 μB/atom. Its total energy is -8.66 eV/atom.

Cell and atoms, written as POSCAR:
```
AcCe6O12
1.0
-6.522 2.147 -0.193
-0.758 -5.945 3.358
2.454 3.963 5.046
O Ce Ac
12 6 1
Cartesian
1.502 1.795 5.725
-1.529 2.135 3.416
-3.632 -0.612 2.235
-2.133 4.587 4.826
0.375 -2.679 6.446
-0.548 -1.327 4.062
-5.200 2.845 1.764
-4.278 1.492 4.148
-1.193 0.778 5.975
-2.692 -4.421 3.385
-3.297 -1.969 4.795
-6.328 -1.630 2.486
0.331 0.862 4.018
-3.265 1.665 1.888
-5.157 -0.697 4.193
-2.727 2.521 5.556
-2.098 -2.355 2.655
-1.561 -1.500 6.322
0.000 0.000 0.000
```


4.
First-principles (PBE) data for an optimized crystal structure of AcCe2O, as listed in Alexandria via LeMat-Bulk.

Results
The value obtained for the offset from the most stable computed form is 0 meV per atom. The density of states at the Fermi level is 12.2 states/eV/f.u. The uncorrected formation energy is -1096 meV per atom. For the size of the total moment, the calculation gives 0.58 μB/atom. Its total energy is -6.33 eV/atom.

Cell and atoms, written as POSCAR:
```
AcCe2O
1.0
-2.700 -2.265 0.937
-1.011 -2.670 -2.269
5.255 -7.655 3.735
O Ce Ac
1 2 1
Cartesian
0.772 -6.295 1.202
-1.344 -7.125 0.191
2.889 -5.464 2.212
0.000 0.000 0.000
```


5.
First-principles (PBE) data for an optimized crystal structure of Ac6CeO12, as listed in Alexandria via LeMat-Bulk.

Results
The density of states at the Fermi level is 20.3 states/eV/f.u. The uncorrected formation energy is -3163 meV per atom. For the size of the total moment, the calculation gives 0.12 μB/atom. Its total energy is -7.90 eV/atom.

Cell and atoms, written as POSCAR:
```
Ac6CeO12
1.0
7.066 0.202 -1.292
-1.584 6.889 -1.292
0.156 0.202 7.181
Ac O Ce
6 12 1
Cartesian
0.602 2.161 3.782
1.128 4.247 -0.172
4.511 3.047 4.770
5.037 5.133 0.816
4.095 1.127 1.139
1.543 6.167 3.459
5.539 4.986 -1.693
2.143 4.091 4.665
5.257 3.104 2.411
0.099 2.308 6.291
2.939 1.424 3.438
3.496 3.203 -0.067
2.700 5.870 1.160
4.963 0.730 5.766
-0.968 6.616 3.701
6.606 0.678 0.897
0.676 6.564 -1.168
0.381 4.190 2.187
0.000 0.000 0.000
```


6.
First-principles (PBE) data for an optimized crystal structure of AcCePO, as listed in Alexandria via LeMat-Bulk.

Results
The density of states at the Fermi level is 2.5 states/eV/f.u. The uncorrected formation energy is -1997 meV per atom. For the size of the total moment, the calculation gives 0.00 μB/atom. Its total energy is -7.10 eV/atom.

Cell and atoms, written as POSCAR:
```
AcCePO
1.0
4.302 0.000 0.000
0.000 4.302 0.000
0.000 0.000 10.049
Ac O P Ce
2 2 2 2
Cartesian
0.000 2.151 3.777
2.151 0.000 6.271
0.000 0.000 5.024
2.151 2.151 5.024
0.000 2.151 8.114
2.151 0.000 1.935
2.151 2.151 0.000
0.000 0.000 0.000
```


7.
First-principles (PBE) data for an optimized crystal structure of Ac2CePO8, as listed in Alexandria via LeMat-Bulk.

Results
The density of states at the Fermi level is 6.1 states/eV/f.u. The uncorrected formation energy is -2477 meV per atom. For the size of the total moment, the calculation gives 0.08 μB/atom. Its total energy is -7.41 eV/atom.

Cell and atoms, written as POSCAR:
```
Ac2CePO8
1.0
5.548 0.000 0.000
-2.774 4.805 0.000
0.000 0.000 6.233
O P Ce Ac
8 1 1 2
Cartesian
4.354 0.689 5.194
2.774 1.602 3.072
0.000 3.203 3.161
2.774 3.426 5.194
1.580 4.116 1.040
1.194 0.689 5.194
-1.580 4.116 1.040
0.000 1.378 1.040
0.000 0.000 0.000
0.000 0.000 3.117
0.000 3.203 5.330
2.774 1.602 0.903
```


8.
First-principles (PBE) data for an optimized crystal structure of AcCeP2O8, as listed in Alexandria via LeMat-Bulk.

Results
The density of states at the Fermi level is 2.6 states/eV/f.u. The uncorrected formation energy is -2910 meV per atom. For the size of the total moment, the calculation gives 0.08 μB/atom. Its total energy is -7.95 eV/atom.

Cell and atoms, written as POSCAR:
```
AcCeP2O8
1.0
5.374 0.000 0.000
-2.687 4.654 0.000
0.000 0.000 7.668
O Ac P Ce
8 1 2 1
Cartesian
1.422 0.818 2.129
2.685 3.014 2.129
1.266 3.836 5.540
0.002 1.640 5.540
3.955 0.822 2.129
2.687 1.551 0.061
0.000 3.103 7.607
-1.268 3.832 5.540
0.000 0.000 0.000
2.687 1.551 1.597
0.000 3.103 6.071
0.000 0.000 3.834
```


9.
First-principles (PBE) data for an optimized crystal structure of AcCePaO6, as listed in Alexandria via LeMat-Bulk.

Results
The density of states at the Fermi level is 0.0 states/eV/f.u. The uncorrected formation energy is -3474 meV per atom. For the size of the total moment, the calculation gives 0.00 μB/atom. Its total energy is -8.95 eV/atom.

Cell and atoms, written as POSCAR:
```
AcCePaO6
1.0
-3.859 2.386 2.716
-1.571 -4.685 1.883
6.835 1.191 8.665
O Ac Ce Pa
12 2 2 2
Cartesian
0.495 -0.327 4.132
3.553 -2.337 9.106
2.156 1.978 9.615
1.488 -2.872 6.401
-0.016 1.775 6.949
-3.612 -1.538 3.131
-0.811 -3.023 3.612
0.819 -0.811 9.132
-2.162 1.151 4.104
-1.621 -1.223 5.924
3.043 0.131 7.248
-1.751 -0.750 1.554
0.004 0.001 0.005
0.706 -0.554 6.637
2.981 -0.157 9.521
2.278 0.397 2.889
4.557 0.794 5.778
-1.575 -0.951 3.745
```


10.
First-principles (PBE) data for an optimized crystal structure of AcCePb2O8, as listed in Alexandria via LeMat-Bulk.

Results
The density of states at the Fermi level is 10.4 states/eV/f.u. The uncorrected formation energy is -1874 meV per atom. For the size of the total moment, the calculation gives 0.09 μB/atom. Its total energy is -6.63 eV/atom.

Cell and atoms, written as POSCAR:
```
AcCePb2O8
1.0
-3.981 -2.189 3.280
3.908 -1.571 3.695
-0.509 6.988 -0.739
O Ac Ce Pb
8 1 1 2
Cartesian
-2.286 3.970 2.323
-0.297 -0.111 2.343
2.088 -0.057 4.230
-0.590 4.645 -0.110
-0.172 2.502 3.956
-2.488 -0.634 4.396
1.390 4.430 2.196
0.031 -1.833 5.609
-2.263 1.460 3.014
0.000 0.000 0.000
-0.036 -1.880 3.488
1.682 1.769 3.222
```


11.
First-principles (PBE) data for an optimized crystal structure of AcCePbO6, as listed in Alexandria via LeMat-Bulk.

Results
The density of states at the Fermi level is 7.4 states/eV/f.u. The uncorrected formation energy is -2187 meV per atom. For the size of the total moment, the calculation gives 0.11 μB/atom. Its total energy is -7.02 eV/atom.

Cell and atoms, written as POSCAR:
```
AcCePbO6
1.0
5.202 0.000 0.000
0.000 5.202 0.000
0.000 0.000 11.309
Ac O Pb Ce
2 12 2 2
Cartesian
0.000 0.000 0.009
2.601 2.601 5.663
4.160 1.042 2.062
3.486 3.486 11.249
1.559 1.559 7.717
4.317 0.885 5.594
1.052 4.150 9.287
0.885 4.317 5.594
3.653 3.653 3.633
1.042 4.160 2.062
4.150 1.052 9.287
1.716 1.716 11.249
3.643 3.643 7.717
1.549 1.549 3.633
2.601 2.601 9.372
0.000 0.000 3.717
0.000 0.000 7.624
2.601 2.601 1.970
```


12.
First-principles (PBE) data for an optimized crystal structure of AcCePdO6, as listed in Alexandria via LeMat-Bulk.

Results
The density of states at the Fermi level is 10.4 states/eV/f.u. The uncorrected formation energy is -2092 meV per atom. For the size of the total moment, the calculation gives 0.07 μB/atom. Its total energy is -7.09 eV/atom.

Cell and atoms, written as POSCAR:
```
AcCePdO6
1.0
5.593 0.000 0.000
-2.797 4.844 0.000
0.000 0.000 10.599
O Pd Ac Ce
12 2 2 2
Cartesian
-0.883 1.823 6.803
0.776 4.697 9.096
1.913 3.021 1.503
2.021 0.147 1.503
0.883 1.823 9.096
1.137 1.677 3.797
-0.776 4.697 6.803
3.680 3.021 3.797
-1.659 3.167 9.096
1.659 3.167 6.803
4.456 1.677 1.503
3.573 0.147 3.797
2.797 1.615 2.650
0.000 3.229 7.949
0.000 0.000 0.000
0.000 0.000 5.300
0.000 3.229 2.650
2.797 1.615 7.949
```